The following is a DFT calculation (PBE) of crystalline Cd2Pt8Rh at its relaxed geometry.

Computed properties:
SG = C2/m, No. 12
raw total energy = -5.20 eV/atom
energy of formation from the pure elements = 0.4 eV/f.u.
Fermi-level density of states = 12.9 states/eV/f.u.

Structure (POSCAR):
```
Cd2Pt8Rh
1.0
2.753 -0.143 -0.389
-1.206 7.999 -6.331
0.613 -1.711 10.110
Cd Pt Rh
2 8 1
Direct
0.000 0.752 0.248
0.000 0.248 0.752
0.164 0.955 0.708
0.164 0.708 0.955
0.332 0.656 0.656
0.500 0.373 0.627
0.500 0.627 0.373
0.668 0.344 0.344
0.836 0.292 0.045
0.836 0.045 0.292
0.500 0.000 0.000
```

The following is a DFT calculation (PBE) of crystalline CdPt2Rh at its relaxed geometry.

Computed properties:
SG = Cm, No. 8
raw total energy = -5.20 eV/atom
energy of formation from the pure elements = -0.5 eV/f.u.
Fermi-level density of states = 5.1 states/eV/f.u.

Structure (POSCAR):
```
CdPt2Rh
1.0
4.901 0.000 0.005
4.081 2.715 0.005
0.788 0.238 4.856
Rh Pt Cd
1 2 1
Direct
0.503 0.503 0.485
0.998 0.998 0.006
0.248 0.248 0.258
0.751 0.751 0.752
```

The following is a DFT calculation (PBE) of crystalline CdPtRh2 at its relaxed geometry.

Computed properties:
SG = P4mm, No. 99
raw total energy = -5.48 eV/atom
energy of formation from the pure elements = -0.3 eV/f.u.
Fermi-level density of states = 4.3 states/eV/f.u.

Structure (POSCAR):
```
CdPtRh2
1.0
2.816 0.010 0.000
-0.010 2.816 0.000
0.000 0.000 7.988
Rh Pt Cd
2 1 1
Direct
0.000 0.000 0.009
0.500 0.500 0.229
0.500 0.500 0.767
0.000 0.000 0.495
```

The following is a DFT calculation (PBE) of crystalline CdPt2Rh at its relaxed geometry.

Computed properties:
SG = C2/m, No. 12
raw total energy = -5.19 eV/atom
energy of formation from the pure elements = -0.4 eV/f.u.
Fermi-level density of states = 4.7 states/eV/f.u.

Structure (POSCAR):
```
CdPt2Rh
1.0
-0.664 3.234 -3.636
-2.933 1.525 -3.633
-2.568 3.415 2.414
Rh Pt Cd
1 2 1
Direct
0.250 0.250 0.250
0.996 0.996 0.010
0.504 0.504 0.490
0.750 0.750 0.750
```

The following is a DFT calculation (PBE) of crystalline CdPt5Rh at its relaxed geometry.

Computed properties:
SG = P4/mmm, No. 123
raw total energy = -5.43 eV/atom
energy of formation from the pure elements = 0.4 eV/f.u.
Fermi-level density of states = 5.4 states/eV/f.u.

Structure (POSCAR):
```
CdPt5Rh
1.0
3.925 0.000 0.000
0.000 3.925 0.000
0.000 0.000 7.764
Cd Pt Rh
1 5 1
Direct
0.000 0.000 0.000
0.500 0.500 0.000
0.500 0.000 0.275
0.000 0.500 0.275
0.500 0.000 0.725
0.000 0.500 0.725
0.000 0.000 0.500
```

The following is a DFT calculation (PBE) of crystalline Cd2PtRh at its relaxed geometry.

Computed properties:
SG = R-3m, No. 166
raw total energy = -3.89 eV/atom
energy of formation from the pure elements = -0.4 eV/f.u.
Fermi-level density of states = 3.1 states/eV/f.u.

Structure (POSCAR):
```
Cd2PtRh
1.0
9.088 -1.485 -0.003
9.088 1.485 -0.003
8.846 0.000 2.559
Cd Pt Rh
2 1 1
Direct
0.748 0.748 0.748
0.252 0.252 0.252
0.500 0.500 0.500
0.000 0.000 0.000
```